Record 1
Computed, not measured: a relaxed NdScZnSi crystal at the PBE-GGA level of DFT.

Lattice parameters (Å, degrees): 4.9262 4.9262 4.9262 60.00 60.00 60.00
Fractional coordinates of all 4 atoms:
Nd  0.0000  0.0000  0.0000
Sc  0.5000  0.5000  0.5000
Zn  0.7500  0.7500  0.7500
Si  0.2500  0.2500  0.2500

Computed properties:
For the size of the total moment, the calculation gives 0.0 μB/cell. Its density of states at the Fermi level is 1.4 states/eV/cell. Its uncorrected formation energy is -163 kJ/mol of formula units. The crystal system is cubic. The space-group type is F-43m, No. 216.



Record 2
Computed, not measured: a relaxed Mg2GaAu crystal at the PBE-GGA level of DFT.

Lattice parameters (Å, degrees): 5.5025 4.4526 6.4036 90.00 105.77 90.00
Fractional coordinates of all 8 atoms:
Mg  0.1623  0.2500  0.4245
Mg  0.1981  0.2500  0.9223
Mg  0.8019  0.7500  0.0777
Mg  0.8377  0.7500  0.5755
Ga  0.3405  0.7500  0.2254
Ga  0.6595  0.2500  0.7746
Au  0.3634  0.7500  0.7039
Au  0.6366  0.2500  0.2961

Computed properties:
For the size of the total moment, the calculation gives 0.0 μB/cell. Its density of states at the Fermi level is 2.6 states/eV/cell. As for the formation energy: -0.39 eV per atom. The crystal system is monoclinic. The space-group type is P2_1/m, No. 11.



Record 3
Computed, not measured: a relaxed BaCu2Se3 crystal at the PBE-GGA level of DFT.

Lattice parameters (Å, degrees): 4.6928 4.7829 13.1517 90.00 95.79 90.00
Fractional coordinates of all 12 atoms:
Ba  0.1530  0.2500  0.2916
Ba  0.8470  0.7500  0.7084
Cu  0.1633  0.2500  0.9122
Cu  0.2670  0.2500  0.5697
Cu  0.7330  0.7500  0.4303
Cu  0.8367  0.7500  0.0878
Se  0.1354  0.7500  0.9537
Se  0.2511  0.7500  0.4998
Se  0.3822  0.2500  0.7578
Se  0.6178  0.7500  0.2422
Se  0.7489  0.2500  0.5002
Se  0.8646  0.2500  0.0463

Computed properties:
For the size of the total moment, the calculation gives 0.0 μB/cell. Its density of states at the Fermi level is 1.5 states/eV/cell. Its uncorrected formation energy is -435 kJ/mol of formula units. The crystal system is monoclinic. The space-group type is P2_1/m, No. 11.



Record 4
Computed, not measured: a relaxed Be3C crystal at the PBE-GGA level of DFT.

Lattice parameters (Å, degrees): 4.5544 4.5544 4.5544 152.06 107.21 79.68
Fractional coordinates of all 4 atoms:
Be  0.0000  0.0000  0.0000
Be  0.4636  0.6928  0.7708
Be  0.9219  0.6928  0.2292
C  0.7809  0.2809  0.5000

Computed properties:
For the size of the total moment, the calculation gives 0.0 μB/cell. Its density of states at the Fermi level is 0.6 states/eV/cell. As for the polymorph energy (0 for the lowest one): 140.6 kJ/mol of formula units. As for the formation energy: 0.57 eV per atom. The crystal system is orthorhombic. The space-group type is Imm2, No. 44.



Record 5
Computed, not measured: a relaxed KLiRhO3 crystal at the PBE-GGA level of DFT.

Lattice parameters (Å, degrees): 6.9295 3.2444 7.5016 90.00 110.10 90.00
Fractional coordinates of all 12 atoms:
K  0.2334  0.2500  0.2574
K  0.7666  0.7500  0.7426
Li  0.0915  0.2500  0.5970
Li  0.9085  0.7500  0.4030
Rh  0.3223  0.7500  0.8499
Rh  0.6777  0.2500  0.1501
O  0.1471  0.2500  0.8637
O  0.2032  0.7500  0.5652
O  0.4838  0.7500  0.1377
O  0.5162  0.2500  0.8623
O  0.7968  0.2500  0.4348
O  0.8529  0.7500  0.1363

Computed properties:
For the size of the total moment, the calculation gives 1.7 μB/cell. Its density of states at the Fermi level is 5.8 states/eV/cell. Its uncorrected formation energy is -717 kJ/mol of formula units. The crystal system is monoclinic. The space-group type is P2_1/m, No. 11.



Record 6
Computed, not measured: a relaxed KSb2Te crystal at the PBE-GGA level of DFT.

Lattice parameters (Å, degrees): 9.6155 9.6155 9.6155 25.10 25.10 25.10
Fractional coordinates of all 4 atoms:
K  0.0000  0.0000  0.0000
Sb  0.2349  0.2349  0.2349
Sb  0.7651  0.7651  0.7651
Te  0.5000  0.5000  0.5000

Computed properties:
For the size of the total moment, the calculation gives 0.0 μB/cell. Its density of states at the Fermi level is 2.6 states/eV/cell. Its uncorrected formation energy is -4 kJ/mol of formula units. The crystal system is trigonal. The space-group type is R-3m, No. 166.



Record 7
Computed, not measured: a relaxed Sb2AsS4 crystal at the PBE-GGA level of DFT.

Lattice parameters (Å, degrees): 6.2383 6.2383 6.2383 111.33 111.33 105.82
Fractional coordinates of all 7 atoms:
Sb  0.2500  0.7500  0.5000
Sb  0.7500  0.2500  0.5000
As  0.0000  0.0000  0.0000
S  0.1186  0.6501  0.0000
S  0.3499  0.3499  0.4685
S  0.6501  0.1186  0.0000
S  0.8814  0.8814  0.5315

Computed properties:
For the size of the total moment, the calculation gives 0.0 μB/cell. Its density of states at the Fermi level is 1.3 states/eV/cell. Its uncorrected formation energy is 65 kJ/mol of formula units. The crystal system is tetragonal. The space-group type is I-42m, No. 121.



Record 8
Computed, not measured: a relaxed Pm8Pr2Sm3 crystal at the PBE-GGA level of DFT.

Lattice parameters (Å, degrees): 8.9311 8.9311 6.2535 107.72 107.72 83.37
Fractional coordinates of all 13 atoms:
Pm  0.0510  0.0510  0.2780
Pm  0.0722  0.5873  0.8286
Pm  0.3466  0.3466  0.4440
Pm  0.4127  0.9278  0.1714
Pm  0.5873  0.0722  0.8286
Pm  0.6534  0.6534  0.5560
Pm  0.9278  0.4127  0.1714
Pm  0.9490  0.9490  0.7220
Pr  0.2149  0.2149  0.8402
Pr  0.7851  0.7851  0.1598
Sm  0.2566  0.7434  0.5000
Sm  0.5000  0.5000  0.0000
Sm  0.7434  0.2566  0.5000

Computed properties:
For the size of the total moment, the calculation gives 0.0 μB/cell. Its density of states at the Fermi level is 20.8 states/eV/cell. As for the polymorph energy (0 for the lowest one): 0.0 kJ/mol of formula units. As for the formation energy: 0.16 eV per atom. The crystal system is monoclinic. The space-group type is C2/m, No. 12.